Entry 1:
A plane-wave DFT calculation with PBE was carried out for an optimized crystal structure of Ac2CuPt6Rh.

Results
As for the crystal system: cubic. The space group is No. 225. For the density of states at the Fermi level, the calculation gives 7.84 states/eV/cell. As for the size of the total moment: 2.05 μB/cell. The calculation puts the formation energy at -0.1578 eV/atom. As for the electronic total energy: -5.75 eV/atom.

Geometry as POSCAR:
```
Ac2CuPt6Rh
1.0
6.827 0.000 0.000
0.000 6.827 0.000
3.414 3.413 4.828
Ac Pt Rh Cu
2 6 1 1
Direct
0.750 0.250 0.500
0.250 0.750 0.500
0.756 0.244 0.000
0.244 0.244 0.513
0.756 0.756 0.000
0.244 0.756 0.000
0.756 0.756 0.487
0.244 0.244 0.000
0.500 0.500 0.000
0.000 0.000 0.000
```

***

Entry 2:
A plane-wave DFT calculation with PBE was carried out for an optimized crystal structure of AcScCuPt2.

Results
As for the crystal system: tetragonal. The space group is No. 119. For the density of states at the Fermi level, the calculation gives 3.12 states/eV/cell. As for the size of the total moment: 0.00 μB/cell. The calculation puts the formation energy at -0.9087 eV/atom. As for the electronic total energy: -6.23 eV/atom.

Geometry as POSCAR:
```
AcScCuPt2
1.0
-0.171 -1.838 3.687
4.064 0.531 0.453
-2.986 6.267 0.681
Ac Cu Pt Sc
1 1 2 1
Direct
0.000 0.000 0.000
0.250 0.750 0.500
0.611 0.611 0.222
0.389 0.389 0.778
0.750 0.250 0.500
```

***

Entry 3:
A plane-wave DFT calculation with PBE was carried out for an optimized crystal structure of Ac3CuSi2Pt9.

Results
As for the crystal system: trigonal. The space group is No. 164. For the density of states at the Fermi level, the calculation gives 3.65 states/eV/cell. As for the size of the total moment: 0.00 μB/cell. As for the electronic total energy: -6.25 eV/atom.

Geometry as POSCAR:
```
Ac3CuSi2Pt9
1.0
5.923 0.000 0.000
-2.961 5.129 0.000
0.000 0.000 10.560
Pt Ac Si Cu
9 3 2 1
Direct
0.500 0.000 0.000
0.318 0.159 0.690
0.682 0.841 0.310
0.159 0.318 0.310
0.841 0.159 0.690
0.500 0.500 0.000
0.159 0.841 0.310
0.841 0.682 0.690
0.000 0.500 0.000
0.000 0.000 0.000
0.333 0.667 0.601
0.667 0.333 0.399
0.333 0.667 0.164
0.667 0.333 0.836
0.000 0.000 0.500
```

***

What did the first record say?
A plane-wave DFT calculation with PBE was carried out for an optimized crystal structure of Ac2CuPt6Rh.

Results
As for the crystal system: cubic. The space group is No. 225. For the density of states at the Fermi level, the calculation gives 7.84 states/eV/cell. As for the size of the total moment: 2.05 μB/cell. The calculation puts the formation energy at -0.1578 eV/atom. As for the electronic total energy: -5.75 eV/atom.

Geometry as POSCAR:
```
Ac2CuPt6Rh
1.0
6.827 0.000 0.000
0.000 6.827 0.000
3.414 3.413 4.828
Ac Pt Rh Cu
2 6 1 1
Direct
0.750 0.250 0.500
0.250 0.750 0.500
0.756 0.244 0.000
0.244 0.244 0.513
0.756 0.756 0.000
0.244 0.756 0.000
0.756 0.756 0.487
0.244 0.244 0.000
0.500 0.500 0.000
0.000 0.000 0.000
```

***

> What is the size of the total moment in the third record?

0.00 μB/cell

***

> Which of these has the lowest electronic total energy?

Ac3CuSi2Pt9

***

> The highest electronic total energy belongs to which entry?

Ac2CuPt6Rh